A plane-wave DFT calculation with PBE+U was carried out for crystalline Mn2CdO3 at its relaxed geometry.

E_tot ... -39.1 eV per cell
Space group ... Immm
Energy relative to the lowest polymorph listed for this composition ... 0 meV per atom
Size of the total moment ... 10.001 μB per formula unit
D(E_F) ... 0.80 states/eV/f.u.

a b c (Å): 3.2449 4.6338 5.6396
angles (deg): 114.26 106.72 90.00
With the nearest neighbours (Å) after each atom.
Fractional positions:
O  0.6789  0.1789  0.3579  4 Mn 2.21-2.32, 2 Cd 2.38
O  0.3211  0.8211  0.6421  4 Mn 2.21-2.32, 2 Cd 2.38
O  0.0000  0.5000  0.0000  4 Mn 2.30, 2 Cd 2.32
Mn  0.6669  0.6669  0.3337  6 O 2.21-2.32
Mn  0.3331  0.3331  0.6663  6 O 2.21-2.32
Cd  0.0000  0.0000  0.0000  6 O 2.32-2.38